No. 1
Pm2RhO6 after structural relaxation. Source: Alexandria, functional PBE-GGA.

abc: 3.711 5.522 11.198
angles: 90.00 90.00 90.00
Space group Immm (No. 71)
Inequivalent atoms, fractional coordinates:
Pm (0.000, 0.000, 0.170) x4
Rh (0.000, 0.000, 0.500) x2
O (0.000, 0.232, 0.351) x8
O (0.000, 0.295, 0.000) x4

Calculated values
The density of states at the Fermi level is 7.61 states/eV/f.u. The energy above the most stable polymorph in this dataset comes out at 174 meV/atom. As for the crystal system: orthorhombic.



No. 2
Pm2RhO after structural relaxation. Source: Alexandria, functional PBE-GGA.

abc: 3.225 3.225 7.033
angles: 90.00 90.00 90.00
Space group P4/mmm (No. 123)
Inequivalent atoms, fractional coordinates:
Pm (0.000, 0.000, 0.227) x2
Rh (0.500, 0.500, 0.500) x1
O (0.500, 0.500, 0.000) x1

Calculated values
The density of states at the Fermi level is 2.74 states/eV/f.u. The energy above the most stable polymorph in this dataset comes out at 120 meV/atom. As for the crystal system: tetragonal.



No. 3
Pm3Rh2O after structural relaxation. Source: Alexandria, functional PBE-GGA.

abc: 11.967 6.251 7.378
angles: 90.00 99.86 90.00
Space group C2/c (No. 15)
Inequivalent atoms, fractional coordinates:
Pm (0.000, 0.102, 0.250) x4
Pm (0.156, 0.393, 0.662) x8
Rh (0.174, 0.090, 0.018) x8
O (0.000, 0.460, 0.250) x4

Calculated values
The density of states at the Fermi level is 2.70 states/eV/f.u. As for the crystal system: monoclinic. As for the electronic total energy: -41.894 eV/f.u.



No. 4
Pm6Rh3O after structural relaxation. Source: Alexandria, functional PBE-GGA.

abc: 11.090 14.054 6.808
angles: 90.00 90.00 90.00
Space group Cmc2_1 (No. 36)
Inequivalent atoms, fractional coordinates:
Pm (0.000, 0.051, 0.000) x4
Pm (0.000, 0.222, 0.461) x4
Pm (0.160, 0.273, 0.944) x8
Pm (0.168, 0.472, 0.449) x8
Rh (0.000, 0.395, 0.729) x4
Rh (0.168, 0.106, 0.673) x8
O (0.000, 0.207, 0.118) x4

Calculated values
The density of states at the Fermi level is 6.01 states/eV/f.u. As for the crystal system: orthorhombic. As for the electronic total energy: -65.813 eV/f.u.



No. 5
Pm8Rh5O after structural relaxation. Source: Alexandria, functional PBE-GGA.

abc: 8.551 8.551 9.172
angles: 90.00 90.00 90.00
Space group I-4 (No. 82)
Inequivalent atoms, fractional coordinates:
Pm (0.048, 0.284, 0.451) x8
Pm (0.060, 0.196, 0.842) x8
Rh (0.000, 0.500, 0.750) x2
Rh (0.109, 0.261, 0.146) x8
O (0.000, 0.000, 0.500) x2

Calculated values
The density of states at the Fermi level is 8.29 states/eV/f.u. As for the crystal system: tetragonal. As for the electronic total energy: -92.075 eV/f.u.



No. 6
Pm2RhO after structural relaxation. Source: Alexandria, functional PBE-GGA.

abc: 4.2345 4.2345 22.0515
angles: 90.00 90.00 120.00
Space group R-3m (No. 166, hexagonal axes)
Inequivalent atoms, fractional coordinates:
Pm (0.0000, 0.0000, 0.0957) x6
Rh (0.0000, 0.0000, 0.5000) x3
O (0.0000, 0.0000, 0.0000) x3

Calculated values
The density of states at the Fermi level is 2.66 states/eV/f.u. The energy above the most stable polymorph in this dataset comes out at 44 meV/atom. As for the crystal system: trigonal.



No. 7
Pm3RhO7 after structural relaxation. Source: Alexandria, functional PBE-GGA.

abc: 10.867 7.435 7.555
angles: 90.00 90.00 90.00
Space group Cmcm (No. 63)
Inequivalent atoms, fractional coordinates:
Pm (0.000, 0.000, 0.000) x4
Pm (0.221, 0.304, 0.250) x8
Rh (0.000, 0.500, 0.000) x4
O (0.000, 0.408, 0.250) x4
O (0.127, 0.312, 0.539) x16
O (0.132, 0.024, 0.250) x8

Calculated values
The density of states at the Fermi level is 4.48 states/eV/f.u. As for the crystal system: orthorhombic. As for the electronic total energy: -84.210 eV/f.u.



No. 8
Pm6RhO12 after structural relaxation. Source: Alexandria, functional PBE-GGA.

abc: 10.0963 10.0963 9.7015
angles: 90.00 90.00 120.00
Space group R-3 (No. 148, hexagonal axes)
Inequivalent atoms, fractional coordinates:
Pm (0.0464, 0.7890, 0.1451) x18
Rh (0.0000, 0.0000, 0.5000) x3
O (0.0367, 0.8111, 0.9032) x18
O (0.0423, 0.8572, 0.3913) x18

Calculated values
The density of states at the Fermi level is 3.92 states/eV/f.u. As for the crystal system: trigonal. As for the electronic total energy: -148.645 eV/f.u.



No. 9
Pm3RhO after structural relaxation. Source: Alexandria, functional PBE-GGA.

abc: 12.792 11.992 7.056
angles: 90.00 101.51 90.00
Space group C2/c (No. 15)
Inequivalent atoms, fractional coordinates:
Pm (0.119, 0.094, 0.132) x8
Pm (0.124, 0.256, 0.624) x8
Pm (0.139, 0.435, 0.102) x8
Rh (0.000, 0.086, 0.750) x4
Rh (0.000, 0.284, 0.250) x4
O (0.190, 0.415, 0.805) x8

Calculated values
The density of states at the Fermi level is 2.89 states/eV/f.u. The energy above the most stable polymorph in this dataset comes out at 0 meV/atom. As for the crystal system: monoclinic.



No. 10
Pm3RhO6 after structural relaxation. Source: Alexandria, functional PBE-GGA.

abc: 9.9939 9.9939 10.2710
angles: 90.00 90.00 120.00
Space group R-3 (No. 148, hexagonal axes)
Inequivalent atoms, fractional coordinates:
Pm (0.0470, 0.7789, 0.1830) x18
Rh (0.0000, 0.0000, 0.0000) x3
Rh (0.0000, 0.0000, 0.5000) x3
O (0.0303, 0.8349, 0.8983) x18
O (0.0379, 0.8329, 0.4007) x18

Calculated values
As for the crystal system: trigonal. As for the electronic total energy: -78.545 eV/f.u.



No. 11
Pm2RhO after structural relaxation. Source: Alexandria, functional PBE-GGA.

abc: 3.5874 3.5874 21.6697
angles: 90.00 90.00 120.00
Space group R3m (No. 160, hexagonal axes)
Inequivalent atoms, fractional coordinates:
Pm (0.0000, 0.0000, 0.0000) x3
Pm (0.0000, 0.0000, 0.1522) x3
Rh (0.0000, 0.0000, 0.5763) x3
O (0.0000, 0.0000, 0.7489) x3

Calculated values
The density of states at the Fermi level is 3.11 states/eV/f.u. The energy above the most stable polymorph in this dataset comes out at 0 meV/atom. As for the crystal system: trigonal.



No. 12
Pm12Rh3O5 after structural relaxation. Source: Alexandria, functional PBE-GGA.

abc: 15.599 15.599 15.599
angles: 90.00 90.00 90.00
Space group Ia-3d (No. 230)
Inequivalent atoms, fractional coordinates:
Pm (0.033, 0.056, 0.651) x96
Rh (0.000, 0.250, 0.125) x24
O (0.000, 0.000, 0.000) x16
O (0.000, 0.250, 0.375) x24

Calculated values
The density of states at the Fermi level is 20.57 states/eV/f.u. As for the crystal system: cubic. As for the electronic total energy: -134.644 eV/f.u.



No. 13
PmRhO after structural relaxation. Source: Alexandria, functional PBE-GGA.

abc: 3.9831 3.9831 25.2122
angles: 90.00 90.00 120.00
Space group R-3m (No. 166, hexagonal axes)
Inequivalent atoms, fractional coordinates:
Pm (0.0000, 0.0000, 0.2258) x6
Rh (0.0000, 0.0000, 0.3468) x6
O (0.0000, 0.0000, 0.1303) x6

Calculated values
The density of states at the Fermi level is 2.75 states/eV/f.u. As for the crystal system: trigonal. As for the electronic total energy: -22.433 eV/f.u.



No. 14
Pm2RhO6 after structural relaxation. Source: Alexandria, functional PBE-GGA.

abc: 5.388 6.196 8.824
angles: 90.00 122.60 90.00
Space group P2_1/c (No. 14)
Inequivalent atoms, fractional coordinates:
Pm (0.216, 0.100, 0.251) x4
Rh (0.500, 0.000, 0.000) x2
O (0.142, 0.153, 0.948) x4
O (0.298, 0.720, 0.936) x4
O (0.384, 0.046, 0.753) x4

Calculated values
The density of states at the Fermi level is 2.27 states/eV/f.u. The energy above the most stable polymorph in this dataset comes out at 0 meV/atom. As for the crystal system: monoclinic.



No. 15
PmRh2O4 after structural relaxation. Source: Alexandria, functional PBE-GGA.

abc: 6.679 10.314 5.714
angles: 90.00 117.89 90.00
Space group C2/c (No. 15)
Inequivalent atoms, fractional coordinates:
Pm (0.000, 0.120, 0.250) x4
Rh (0.000, 0.500, 0.000) x4
Rh (0.250, 0.250, 0.000) x4
O (0.083, 0.297, 0.583) x8
O (0.198, 0.056, 0.984) x8

Calculated values
The density of states at the Fermi level is 2.43 states/eV/f.u. As for the crystal system: monoclinic. As for the electronic total energy: -49.593 eV/f.u.



No. 16
Pm5Rh2O12 after structural relaxation. Source: Alexandria, functional PBE-GGA.

abc: 12.684 6.063 7.511
angles: 90.00 107.21 90.00
Space group C2/m (No. 12)
Inequivalent atoms, fractional coordinates:
Pm (0.000, 0.000, 0.000) x2
Pm (0.192, 0.500, 0.332) x4
Pm (0.196, 0.500, 0.858) x4
Rh (0.000, 0.246, 0.500) x4
O (0.000, 0.500, 0.319) x4
O (0.001, 0.000, 0.676) x4
O (0.153, 0.249, 0.076) x8
O (0.163, 0.263, 0.581) x8

Calculated values
The density of states at the Fermi level is 6.37 states/eV/f.u. As for the crystal system: monoclinic. As for the electronic total energy: -146.055 eV/f.u.